# LiTb2Ni3P4 PBE relaxed
# V: 14.80 Å³ per atom
# Mass density: 7.01 g/cm3
# ΔH_f (0 K): -0.97 eV/atom
# Raw total energy: -5.9900 eV/atom
# Total moment: 0.000 μB/atom
data_LiTb2Ni3P4
_space_group_name_H-M_alt 'P -4 m 2'
_space_group_IT_number 115
_space_group_name_Hall 'P -4 -2'
_cell_length_a 4.013
_cell_length_b 4.013
_cell_length_c 9.193
_cell_angle_alpha 90.00
_cell_angle_beta 90.00
_cell_angle_gamma 90.00
loop_
_atom_site_label
_atom_site_type_symbol
_atom_site_fract_x
_atom_site_fract_y
_atom_site_fract_z
Li1 Li 0.000 0.000 0.000
Tb1 Tb 0.000 0.500 0.745
Ni1 Ni 0.000 0.500 0.387
Ni2 Ni 0.500 0.500 0.000
P1 P 0.000 0.000 0.500
P2 P 0.000 0.500 0.138
P3 P 0.500 0.500 0.500

# DyYMg3 PBE relaxed
# V: 28.01 Å³ per atom
# Energy above the lowest structure with this stoichiometry: 139 meV/atom
# Mass density: 3.85 g/cm3
# ΔH_f (0 K): 0.10 eV/atom
# Raw total energy: -3.0725 eV/atom
# Total moment: 0.000 μB/atom
data_DyYMg3
_space_group_name_H-M_alt 'C m c m'
_space_group_IT_number 63
_space_group_name_Hall '-C 2c 2'
_cell_length_a 6.313
_cell_length_b 15.318
_cell_length_c 5.793
_cell_angle_alpha 90.00
_cell_angle_beta 90.00
_cell_angle_gamma 90.00
loop_
_atom_site_label
_atom_site_type_symbol
_atom_site_fract_x
_atom_site_fract_y
_atom_site_fract_z
Dy1 Dy 0.000 0.094 0.250
Y1 Y 0.000 0.307 0.750
Mg1 Mg 0.000 0.500 0.000
Mg2 Mg 0.248 0.365 0.250

# Y2ErNi2 PBE relaxed
# V: 22.92 Å³ per atom
# Energy above the lowest structure with this stoichiometry: 116 meV/atom
# Mass density: 6.70 g/cm3
# ΔH_f (0 K): -0.22 eV/atom
# Raw total energy: -6.0267 eV/atom
# Total moment: 0.000 μB/atom
data_Y2ErNi2
_space_group_name_H-M_alt 'C 1 2/m 1'
_space_group_IT_number 12
_space_group_name_Hall '-C 2y'
_cell_length_a 11.433
_cell_length_b 3.739
_cell_length_c 5.541
_cell_angle_alpha 90.00
_cell_angle_beta 104.61
_cell_angle_gamma 90.00
loop_
_atom_site_label
_atom_site_type_symbol
_atom_site_fract_x
_atom_site_fract_y
_atom_site_fract_z
Y1 Y 0.147 0.000 0.089
Er1 Er 0.000 0.500 0.500
Ni1 Ni 0.209 0.000 0.611